1.
A plane-wave DFT calculation with PBE-GGA was carried out for a relaxed Th5Pa3N8 crystal.

Cell: 7.189 7.189 7.189 Å, 60.08 60.08 60.08°
Element x y z (fractional)
1 Th 0.000 0.000 0.000
2 Th 0.000 0.500 0.500
3 Th 0.500 0.000 0.500
4 Th 0.500 0.500 0.000
5 Th 0.500 0.500 0.500
6 Pa 0.000 0.000 0.500
7 Pa 0.000 0.500 0.000
8 Pa 0.500 0.000 0.000
9 N 0.231 0.750 0.750
10 N 0.241 0.241 0.241
11 N 0.250 0.250 0.769
12 N 0.250 0.769 0.250
13 N 0.750 0.231 0.750
14 N 0.750 0.750 0.231
15 N 0.759 0.759 0.759
16 N 0.769 0.250 0.250

## Properties
Calculated volume ... 263.3 Å³/f.u.
Space group ... R-3m
Total energy ... -9.863 eV/atom
N(E_F) ... 10.1 states/eV/cell
Raw formation energy ... -1.60 eV/atom
Size of the total moment ... 0.000 μB per atom

=====

2.
A plane-wave DFT calculation with PBE-GGA was carried out for a relaxed NaPr2CrN4 crystal.

Cell: 5.769 5.760 5.740 Å, 60.22 60.06 59.72°
Element x y z (fractional)
1 Na 0.000 0.000 0.000
2 Pr 0.249 0.249 0.251
3 Pr 0.749 0.749 0.751
4 Cr 0.499 0.499 0.501
5 N 0.196 0.583 0.804
6 N 0.413 0.801 0.199
7 N 0.583 0.196 0.417
8 N 0.801 0.413 0.587

## Properties
Calculated volume ... 134.8 Å³/f.u.
Space group ... Fmm2
Total energy ... -7.508 eV/atom
N(E_F) ... 2.7 states/eV/cell
Raw formation energy ... -0.78 eV/atom
Size of the total moment ... 0.126 μB per atom

=====

3.
A plane-wave DFT calculation with PBE-GGA was carried out for a relaxed LiCe3Tl4S8 crystal.

Cell: 8.803 8.803 8.803 Å, 55.60 55.60 55.60°
Element x y z (fractional)
1 Li 0.000 0.000 0.000
2 Ce 0.000 0.500 0.500
3 Ce 0.500 0.000 0.500
4 Ce 0.500 0.500 0.000
5 Tl 0.000 0.000 0.500
6 Tl 0.000 0.500 0.000
7 Tl 0.500 0.000 0.000
8 Tl 0.500 0.500 0.500
9 S 0.237 0.237 0.723
10 S 0.237 0.723 0.237
11 S 0.266 0.266 0.266
12 S 0.277 0.763 0.763
13 S 0.723 0.237 0.237
14 S 0.734 0.734 0.734
15 S 0.763 0.277 0.763
16 S 0.763 0.763 0.277

## Properties
Calculated volume ... 433.1 Å³/f.u.
Space group ... R-3m
Total energy ... -5.149 eV/atom
N(E_F) ... 10.9 states/eV/cell
Raw formation energy ... -1.26 eV/atom
Size of the total moment ... 0.070 μB per atom

=====

4.
A plane-wave DFT calculation with PBE-GGA was carried out for a relaxed Li2Zr3Pd8 crystal.

Cell: 9.509 9.509 9.509 Å, 32.75 32.75 32.75°
Element x y z (fractional)
1 Li 0.132 0.132 0.132
2 Li 0.868 0.868 0.868
3 Zr 0.309 0.309 0.309
4 Zr 0.500 0.500 0.500
5 Zr 0.691 0.691 0.691
6 Pd 0.214 0.214 0.214
7 Pd 0.230 0.230 0.728
8 Pd 0.230 0.728 0.230
9 Pd 0.272 0.770 0.770
10 Pd 0.728 0.230 0.230
11 Pd 0.770 0.272 0.770
12 Pd 0.770 0.770 0.272
13 Pd 0.786 0.786 0.786

## Properties
Formation energy ... -0.41 eV per atom
Calculated volume ... 223.9 Å³/f.u.
Space group ... R-3m
Total energy ... -5.874 eV/atom
N(E_F) ... 6.6 states/eV/cell
Size of the total moment ... 0.000 μB per atom

=====

5.
A plane-wave DFT calculation with PBE-GGA was carried out for a relaxed LiCe6Se8 crystal.

Cell: 8.347 8.347 8.347 Å, 60.00 60.00 60.00°
Element x y z (fractional)
1 Li 0.000 0.000 0.000
2 Ce 0.000 0.000 0.500
3 Ce 0.000 0.500 0.000
4 Ce 0.000 0.500 0.500
5 Ce 0.500 0.000 0.000
6 Ce 0.500 0.000 0.500
7 Ce 0.500 0.500 0.000
8 Se 0.245 0.245 0.755
9 Se 0.245 0.755 0.245
10 Se 0.245 0.755 0.755
11 Se 0.250 0.250 0.250
12 Se 0.750 0.750 0.750
13 Se 0.755 0.245 0.245
14 Se 0.755 0.245 0.755
15 Se 0.755 0.755 0.245

## Properties
Calculated volume ... 411.2 Å³/f.u.
Space group ... Fm-3m
Total energy ... -6.100 eV/atom
N(E_F) ... 40.2 states/eV/cell
Raw formation energy ... -1.74 eV/atom
Size of the total moment ... 0.396 μB per atom

=====

6.
A plane-wave DFT calculation with PBE-GGA was carried out for a relaxed TaTcRh2 crystal.

Cell: 4.782 4.782 4.782 Å, 131.26 131.26 71.39°
Element x y z (fractional)
1 Ta 0.000 0.000 0.000
2 Tc 0.750 0.250 0.500
3 Rh 0.250 0.750 0.500
4 Rh 0.500 0.500 0.000

## Properties
Formation energy ... -0.27 eV per atom
Calculated volume ... 60.5 Å³/f.u.
E above lowest polymorph ... 129.2 meV/atom
Space group ... I-4m2
Total energy ... -9.505 eV/atom
N(E_F) ... 4.3 states/eV/cell
Size of the total moment ... 0.000 μB per atom

=====

7.
A plane-wave DFT calculation with PBE-GGA was carried out for a relaxed Lu2SiNi crystal.

Cell: 4.622 4.622 3.590 Å, 90.00 90.00 90.00°
Element x y z (fractional)
1 Lu 0.000 0.500 0.000
2 Lu 0.500 0.000 0.000
3 Si 0.000 0.000 0.500
4 Ni 0.500 0.500 0.500

## Properties
Calculated volume ... 76.7 Å³/f.u.
E above lowest polymorph ... 10.2 meV/atom
Space group ... P4/mmm
Total energy ... -5.574 eV/atom
N(E_F) ... 2.2 states/eV/cell
Raw formation energy ... -0.51 eV/atom
Size of the total moment ... 0.000 μB per atom

=====

8.
A plane-wave DFT calculation with PBE-GGA was carried out for a relaxed BeV2GaH crystal.

Cell: 3.677 3.677 3.863 Å, 90.00 90.00 90.00°
Element x y z (fractional)
1 Be 0.000 0.000 0.000
2 V 0.000 0.500 0.500
3 V 0.500 0.000 0.500
4 Ga 0.500 0.500 0.000
5 H 0.000 0.000 0.500

## Properties
Calculated volume ... 52.2 Å³/f.u.
Space group ... P4/mmm
Total energy ... -5.765 eV/atom
N(E_F) ... 2.9 states/eV/cell
Size of the total moment ... 0.000 μB per atom

=====

9.
A plane-wave DFT calculation with PBE-GGA was carried out for a relaxed Ce2TeCl2 crystal.

Cell: 4.272 4.272 10.059 Å, 90.14 90.14 59.97°
Element x y z (fractional)
1 Ce 0.168 0.168 0.188
2 Ce 0.832 0.832 0.812
3 Te 0.500 0.500 0.000
4 Cl 0.165 0.165 0.656
5 Cl 0.835 0.835 0.344

## Properties
Calculated volume ... 158.9 Å³/f.u.
Space group ... C2/m
Total energy ... -5.444 eV/atom
N(E_F) ... 12.7 states/eV/cell
Raw formation energy ... -1.70 eV/atom
Size of the total moment ... 0.504 μB per atom

=====

10.
A plane-wave DFT calculation with PBE-GGA was carried out for a relaxed Sr6Se2S3I crystal.

Cell: 9.850 9.850 8.859 Å, 103.42 103.42 25.73°
Element x y z (fractional)
1 Sr 0.002 0.002 0.222
2 Sr 0.323 0.323 0.416
3 Sr 0.334 0.334 0.913
4 Sr 0.666 0.666 0.087
5 Sr 0.677 0.677 0.584
6 Sr 0.998 0.998 0.778
7 Se 0.165 0.165 0.830
8 Se 0.835 0.835 0.170
9 S 0.164 0.164 0.333
10 S 0.500 0.500 0.000
11 S 0.836 0.836 0.667
12 I 0.500 0.500 0.500

## Properties
Calculated volume ... 362.4 Å³/f.u.
Space group ... C2/m
Total energy ... -4.523 eV/atom
N(E_F) ... 2.9 states/eV/cell
Raw formation energy ... -1.94 eV/atom
Size of the total moment ... 0.000 μB per atom

=====

11.
A plane-wave DFT calculation with PBE-GGA was carried out for a relaxed CsSm4Se6 crystal.

Cell: 7.379 7.379 22.554 Å, 90.00 90.00 146.56°
Element x y z (fractional)
1 Cs 0.155 0.845 0.750
2 Cs 0.845 0.155 0.250
3 Sm 0.099 0.901 0.131
4 Sm 0.099 0.901 0.369
5 Sm 0.369 0.631 0.040
6 Sm 0.369 0.631 0.460
7 Sm 0.631 0.369 0.540
8 Sm 0.631 0.369 0.960
9 Sm 0.901 0.099 0.631
10 Sm 0.901 0.099 0.869
11 Se 0.000 0.000 0.000
12 Se 0.000 0.000 0.500
13 Se 0.147 0.853 0.250
14 Se 0.270 0.730 0.580
15 Se 0.270 0.730 0.920
16 Se 0.466 0.534 0.149
17 Se 0.466 0.534 0.351
18 Se 0.534 0.466 0.649
19 Se 0.534 0.466 0.851
20 Se 0.730 0.270 0.080
21 Se 0.730 0.270 0.420
22 Se 0.853 0.147 0.750

## Properties
Calculated volume ... 338.3 Å³/f.u.
E above lowest polymorph ... 0.0 meV/atom
Space group ... Cmcm
Total energy ... -5.471 eV/atom
N(E_F) ... 4.5 states/eV/cell
Raw formation energy ... -1.78 eV/atom
Size of the total moment ... 0.000 μB per atom

=====

12.
A plane-wave DFT calculation with PBE-GGA was carried out for a relaxed MnBe2Te crystal.

Cell: 4.228 4.228 4.228 Å, 60.00 60.00 60.00°
Element x y z (fractional)
1 Mn 0.000 0.000 0.000
2 Be 0.250 0.250 0.250
3 Be 0.500 0.500 0.500
4 Te 0.750 0.750 0.750

## Properties
Calculated volume ... 53.4 Å³/f.u.
Space group ... F-43m
Total energy ... -4.220 eV/atom
N(E_F) ... 3.3 states/eV/cell
Raw formation energy ... 0.72 eV/atom
Size of the total moment ... 0.348 μB per atom